An optimized crystal structure of TlSbRu2, computed with PBE. Values from VASP.

```
&SYSTEM
  ibrav = 0, nat = 4, ntyp = 3
/
ATOMIC_SPECIES
Tl 204.38 Tl.upf
Ru 101.07 Ru.upf
Sb 121.76 Sb.upf
ATOMIC_POSITIONS crystal
Tl 0.500 0.500 0.806
Ru 0.000 0.000 0.061
Ru 0.500 0.500 0.210
Sb 0.000 0.000 0.422
CELL_PARAMETERS angstrom
2.956 0.000 0.000
0.000 3.646 0.000
0.000 0.000 7.780
```

Results
Its calculated density is 10.46 g/cm³. The value obtained for the uncorrected formation energy is 131 kJ/mol of formula units. As for the size of the total moment: 0.00 μB per atom. As for the total energy: -23.7 eV per cell. As for the space group: No. 25.